(w)
Material: NaHg2PdF
Method: DFT, PBE
State: optimized geometry

```
NaHg2PdF
1.0
5.382 0.000 0.000
0.000 5.382 0.000
0.000 0.000 4.244
Na Hg Pd F
1 2 1 1
Direct
0.500 0.500 0.500
0.000 0.500 0.000
0.500 0.000 0.000
0.000 0.000 0.500
0.000 0.000 0.000
```

- SG = No. 123
- spin magnetization (μB per cell) = 0.00


(x)
Material: NaHg2PdF
Method: DFT, PBE
State: optimized geometry

```
NaHg2PdF
1.0
-3.808 -0.506 -4.069
1.979 -2.980 -1.482
-2.938 -3.537 3.190
Na Hg Pd F
1 2 1 1
Direct
0.000 0.000 0.000
0.000 0.000 0.500
0.500 0.000 0.000
0.500 0.500 0.500
0.000 0.500 0.000
```

- SG = No. 123
- spin magnetization (μB per cell) = 0.00


Most stable to least stable, the ends of the list are (x) and (w).